Material: ZrCuS3
Method: DFT, GGA-PBE
State: optimized geometry

Lattice parameters (Å, degrees): 4.4511 4.4511 4.4511 90.00 90.00 90.00
Last column: nearest neighbours and their distance in Å.
Element x y z (fractional)
1 Zr 0.0000 0.0000 0.0000  12 S 3.15
2 Cu 0.5000 0.5000 0.5000  6 S 2.23
3 S 0.0000 0.5000 0.5000  2 Cu 2.23
4 S 0.5000 0.0000 0.5000  2 Cu 2.23
5 S 0.5000 0.5000 0.0000  2 Cu 2.23

- DOS at the Fermi energy: 0.682 states/eV per atom
- Size of the total moment: 0.00 μB per formula unit
- DFT total energy: -25.4 eV/cell
- E_form (uncorrected): -0.068 eV per atom
- Offset from the most stable computed form: 841 meV/atom
- V: 88.2 Å³ per cell
- Space-group type: Pm-3m, No. 221